# Pu2Ge5Pt3 | Alexandria | PBE | relaxed
data_Pu2Ge5Pt3
_cell_length_a 10.333
_cell_length_b 11.835
_cell_length_c 6.291
_cell_angle_alpha 90.00
_cell_angle_beta 90.00
_cell_angle_gamma 90.00
_space_group_name_H-M_alt 'I b a m'
_space_group_IT_number 72
_space_group_name_Hall '-I 2 2c'
loop_
_atom_site_label
_atom_site_type_symbol
_atom_site_fract_x
_atom_site_fract_y
_atom_site_fract_z
Pu1 Pu 0.227 0.133 0.000
Ge1 Ge 0.000 0.000 0.250
Ge2 Ge 0.000 0.274 0.250
Ge3 Ge 0.157 0.398 0.000
Pt1 Pt 0.000 0.500 0.250
Pt2 Pt 0.110 0.140 0.500
# V ... 19.2 Å³/atom
# Calculated total energy ... -304.185 eV for the cell shown
# Formation enthalpy at 0 K ... -0.62 eV/atom